# RbTcPS2, optimized geometry, DFT PBE
data_RbTcPS2
_symmetry_space_group_name_H-M 'P 4/m m m'
_symmetry_Int_Tables_number 123
_symmetry_space_group_name_Hall '-P 4 2'
_cell_length_a 4.8863
_cell_length_b 4.8863
_cell_length_c 4.6201
_cell_angle_alpha 90.00
_cell_angle_beta 90.00
_cell_angle_gamma 90.00
loop_
_atom_site_label
_atom_site_type_symbol
_atom_site_fract_x
_atom_site_fract_y
_atom_site_fract_z
Rb1 Rb 0.0000 0.0000 0.0000
Tc1 Tc 0.5000 0.5000 0.5000
P1 P 0.5000 0.5000 0.0000
S1 S 0.0000 0.5000 0.5000
# - Relative energy among the computed polymorphs: 0 meV per atom


# RbTcPS2, optimized geometry, DFT PBE
data_RbTcPS2
_symmetry_space_group_name_H-M 'P 4/m m m'
_symmetry_Int_Tables_number 123
_symmetry_space_group_name_Hall '-P 4 2'
_cell_length_a 5.4698
_cell_length_b 5.4698
_cell_length_c 5.3737
_cell_angle_alpha 90.00
_cell_angle_beta 90.00
_cell_angle_gamma 90.00
loop_
_atom_site_label
_atom_site_type_symbol
_atom_site_fract_x
_atom_site_fract_y
_atom_site_fract_z
Rb1 Rb 0.0000 0.0000 0.0000
Tc1 Tc 0.5000 0.5000 0.5000
P1 P 0.0000 0.0000 0.5000
S1 S 0.0000 0.5000 0.0000
# - Relative energy among the computed polymorphs: 2268 meV per atom


# RbTcP2S, optimized geometry, DFT PBE
data_RbTcP2S
_symmetry_space_group_name_H-M 'P 4/m m m'
_symmetry_Int_Tables_number 123
_symmetry_space_group_name_Hall '-P 4 2'
_cell_length_a 5.2976
_cell_length_b 5.2976
_cell_length_c 5.4191
_cell_angle_alpha 90.00
_cell_angle_beta 90.00
_cell_angle_gamma 90.00
loop_
_atom_site_label
_atom_site_type_symbol
_atom_site_fract_x
_atom_site_fract_y
_atom_site_fract_z
Rb1 Rb 0.0000 0.0000 0.0000
Tc1 Tc 0.5000 0.5000 0.5000
P1 P 0.0000 0.5000 0.0000
S1 S 0.0000 0.0000 0.5000
# - Relative energy among the computed polymorphs: 2373 meV per atom


# RbTePS2, optimized geometry, DFT PBE
data_RbTePS2
_symmetry_space_group_name_H-M 'P 4/m m m'
_symmetry_Int_Tables_number 123
_symmetry_space_group_name_Hall '-P 4 2'
_cell_length_a 5.2785
_cell_length_b 5.2785
_cell_length_c 5.1972
_cell_angle_alpha 90.00
_cell_angle_beta 90.00
_cell_angle_gamma 90.00
loop_
_atom_site_label
_atom_site_type_symbol
_atom_site_fract_x
_atom_site_fract_y
_atom_site_fract_z
Rb1 Rb 0.0000 0.0000 0.0000
Te1 Te 0.5000 0.5000 0.5000
P1 P 0.5000 0.5000 0.0000
S1 S 0.0000 0.5000 0.5000
# - Relative energy among the computed polymorphs: 0 meV per atom


# RbTeP2S, optimized geometry, DFT PBE
data_RbTeP2S
_symmetry_space_group_name_H-M 'P 4/m m m'
_symmetry_Int_Tables_number 123
_symmetry_space_group_name_Hall '-P 4 2'
_cell_length_a 5.5091
_cell_length_b 5.5091
_cell_length_c 5.2991
_cell_angle_alpha 90.00
_cell_angle_beta 90.00
_cell_angle_gamma 90.00
loop_
_atom_site_label
_atom_site_type_symbol
_atom_site_fract_x
_atom_site_fract_y
_atom_site_fract_z
Rb1 Rb 0.0000 0.0000 0.0000
Te1 Te 0.5000 0.5000 0.5000
P1 P 0.0000 0.5000 0.0000
S1 S 0.0000 0.0000 0.5000
# - Relative energy among the computed polymorphs: 1400 meV per atom


# RbTePS2, optimized geometry, DFT PBE
data_RbTePS2
_symmetry_space_group_name_H-M 'P 4/m m m'
_symmetry_Int_Tables_number 123
_symmetry_space_group_name_Hall '-P 4 2'
_cell_length_a 5.7843
_cell_length_b 5.7843
_cell_length_c 6.4316
_cell_angle_alpha 90.00
_cell_angle_beta 90.00
_cell_angle_gamma 90.00
loop_
_atom_site_label
_atom_site_type_symbol
_atom_site_fract_x
_atom_site_fract_y
_atom_site_fract_z
Rb1 Rb 0.0000 0.0000 0.0000
Te1 Te 0.5000 0.5000 0.5000
P1 P 0.0000 0.0000 0.5000
S1 S 0.0000 0.5000 0.0000
# - Relative energy among the computed polymorphs: 1431 meV per atom